No. 1
The following is a DFT calculation (PBE) of a relaxed RbSrY2S crystal.

## Properties
The uncorrected formation energy comes out at 0.823 eV/atom. For the density of states at the Fermi level, the calculation gives 1.342 states/eV/atom. The electronic total energy comes out at -15.59 eV per cell. The mass density is 3.2 g/cm³.

abc: 5.846 5.846 5.727
angles: 90.00 90.00 90.00
Positions (direct):
Rb 0.000 0.000 0.000
Sr 0.500 0.500 0.500
Y 0.000 0.500 0.000
Y 0.500 0.000 0.000
S 0.000 0.000 0.500


No. 2
The following is a DFT calculation (PBE) of a relaxed Na3Y2MnTe6 crystal.

## Properties
The uncorrected formation energy comes out at -0.998 eV/atom. For the density of states at the Fermi level, the calculation gives 0.426 states/eV/atom. The electronic total energy comes out at -56.88 eV per cell. The mass density is 4.8 g/cm³.

abc: 7.521 7.521 7.942
angles: 99.01 99.01 120.31
Positions (direct):
Na 0.000 0.000 0.000
Na 0.328 0.672 0.000
Na 0.672 0.328 0.000
Y 0.167 0.833 0.500
Y 0.833 0.167 0.500
Mn 0.500 0.500 0.500
Te 0.110 0.424 0.275
Te 0.266 0.266 0.720
Te 0.424 0.110 0.275
Te 0.576 0.890 0.725
Te 0.734 0.734 0.280
Te 0.890 0.576 0.725


No. 3
The following is a DFT calculation (PBE) of a relaxed LaMn3 crystal.

## Properties
For the density of states at the Fermi level, the calculation gives 0.539 states/eV/atom. The electronic total energy comes out at -23.73 eV per cell. The mass density is 2.7 g/cm³.

abc: 5.686 5.686 5.686
angles: 90.00 90.00 90.00
Positions (direct):
La 0.000 0.000 0.000
Mn 0.000 0.000 0.500
Mn 0.000 0.500 0.000
Mn 0.500 0.000 0.000


No. 4
The following is a DFT calculation (PBE) of a relaxed Cr2CoSb2 crystal.

## Properties
The uncorrected formation energy comes out at 0.546 eV/atom. For the density of states at the Fermi level, the calculation gives 0.951 states/eV/atom. The electronic total energy comes out at -31.87 eV per cell. The mass density is 8.0 g/cm³.

abc: 8.359 8.359 8.359
angles: 157.72 157.72 31.71
Positions (direct):
Cr 0.250 0.750 0.500
Cr 0.750 0.250 0.500
Co 0.000 0.000 0.000
Sb 0.395 0.395 0.000
Sb 0.605 0.605 0.000


Q: Which value of mass density does entry 4 give?
A: 8.0 g/cm³


Q: What is the electronic total energy in the third record?
A: -23.73 eV per cell